# 1
Material: Be2FePt
Method: DFT, PBEsol
State: relaxed

Values from the calculation:
- electronic total energy (eV for the cell shown) = -25.06
- size of the total moment (μB per cell) = 2.05
- crystal system = tetragonal
- calculated volume (A^3/atom) = 10.293

a = 2.7080 Å, b = 2.7080 Å, c = 5.6146 Å
α = 90.00°, β = 90.00°, γ = 90.00°
Space group P4mm (No. 99)
Symmetry-distinct sites (fractional):
Be1 0.0000 0.0000 0.0000 x1
Be2 0.5000 0.5000 0.2028 x1
Fe1 0.0000 0.0000 0.4259 x1
Pt1 0.5000 0.5000 0.7531 x1

# 2
Material: BaCd2Pt
Method: DFT, PBEsol
State: relaxed

Values from the calculation:
- electronic total energy (eV for the cell shown) = -39.48
- size of the total moment (μB per cell) = 0.00
- crystal system = trigonal
- calculated volume (A^3/atom) = 27.092

a = 4.7493 Å, b = 4.7493 Å, c = 16.6429 Å
α = 90.00°, β = 90.00°, γ = 120.00°
Space group R3m (No. 160, hexagonal axes)
Symmetry-distinct sites (fractional):
Ba1 0.0000 0.0000 0.0000 x3
Cd1 0.0000 0.0000 0.5260 x3
Cd2 0.0000 0.0000 0.8015 x3
Pt1 0.0000 0.0000 0.1937 x3

# 3
Material: MgAlTc3
Method: DFT, PBEsol
State: relaxed

Values from the calculation:
- electronic total energy (eV for the cell shown) = -32.85
- size of the total moment (μB per cell) = 0.00
- crystal system = cubic
- calculated volume (A^3/atom) = 17.635

a = 4.4509 Å, b = 4.4509 Å, c = 4.4509 Å
α = 90.00°, β = 90.00°, γ = 90.00°
Space group Pm-3m (No. 221)
Symmetry-distinct sites (fractional):
Mg1 0.0000 0.0000 0.0000 x1
Al1 0.5000 0.5000 0.5000 x1
Tc1 0.0000 0.5000 0.5000 x3

# 4
Material: LiMnBe2
Method: DFT, PBEsol
State: relaxed

Values from the calculation:
- electronic total energy (eV for the cell shown) = -38.28
- size of the total moment (μB per cell) = 0.00
- crystal system = monoclinic
- calculated volume (A^3/atom) = 9.405

a = 8.4327 Å, b = 2.2650 Å, c = 4.1147 Å
α = 90.00°, β = 106.80°, γ = 90.00°
Space group Cm (No. 8)
Symmetry-distinct sites (fractional):
Li1 0.0000 0.0000 0.0000 x2
Mn1 0.2878 0.5000 0.3849 x2
Be1 0.0380 0.5000 0.5087 x2
Be2 0.2479 0.0000 0.8621 x2

# 5
Material: Ca5MnSi9Pb9O33
Method: DFT, PBEsol
State: relaxed

Values from the calculation:
- electronic total energy (eV for the cell shown) = -415.63
- size of the total moment (μB per cell) = 5.00
- uncorrected formation energy (eV/atom) = -2.36
- crystal system = hexagonal
- calculated volume (A^3/atom) = 14.659

a = 9.7477 Å, b = 9.7477 Å, c = 10.1540 Å
α = 90.00°, β = 90.00°, γ = 120.00°
Space group P-6 (No. 174)
Symmetry-distinct sites (fractional):
Ca1 0.0000 0.0000 0.0000 x1
Ca2 0.0000 0.0000 0.3384 x2
Ca3 0.6667 0.3333 0.3230 x2
Mn1 0.6667 0.3333 0.0000 x1
Si1 0.3125 0.0457 0.1490 x6
Si2 0.3562 0.2831 0.5000 x3
Pb1 0.0611 0.6600 0.1740 x6
Pb2 0.0780 0.4179 0.5000 x3
O1 0.0060 0.8337 0.5000 x3
O2 0.0418 0.2964 0.0000 x3
O3 0.0990 0.3620 0.2539 x6
O4 0.2007 0.1274 0.1706 x6
O5 0.4261 0.4061 0.3739 x6
O6 0.4554 0.1871 0.5000 x3
O7 0.4981 0.1767 0.1494 x6

# 6
Material: Re3Cl
Method: DFT, PBEsol
State: relaxed

Values from the calculation:
- electronic total energy (eV for the cell shown) = -40.48
- offset from the most stable computed form (eV per atom) = 0.000
- size of the total moment (μB per cell) = 0.00
- uncorrected formation energy (eV/atom) = 0.38
- crystal system = hexagonal
- calculated volume (A^3/atom) = 14.676

a = 2.8004 Å, b = 2.8004 Å, c = 8.6433 Å
α = 90.00°, β = 90.00°, γ = 120.00°
Space group P-6m2 (No. 187)
Symmetry-distinct sites (fractional):
Re1 0.0000 0.0000 0.0000 x1
Re2 0.3333 0.6667 0.2473 x2
Cl1 0.0000 0.0000 0.5000 x1

What did the fifth record say?
Material: Ca5MnSi9Pb9O33
Method: DFT, PBEsol
State: relaxed

Values from the calculation:
- electronic total energy (eV for the cell shown) = -415.63
- size of the total moment (μB per cell) = 5.00
- uncorrected formation energy (eV/atom) = -2.36
- crystal system = hexagonal
- calculated volume (A^3/atom) = 14.659

a = 9.7477 Å, b = 9.7477 Å, c = 10.1540 Å
α = 90.00°, β = 90.00°, γ = 120.00°
Space group P-6 (No. 174)
Symmetry-distinct sites (fractional):
Ca1 0.0000 0.0000 0.0000 x1
Ca2 0.0000 0.0000 0.3384 x2
Ca3 0.6667 0.3333 0.3230 x2
Mn1 0.6667 0.3333 0.0000 x1
Si1 0.3125 0.0457 0.1490 x6
Si2 0.3562 0.2831 0.5000 x3
Pb1 0.0611 0.6600 0.1740 x6
Pb2 0.0780 0.4179 0.5000 x3
O1 0.0060 0.8337 0.5000 x3
O2 0.0418 0.2964 0.0000 x3
O3 0.0990 0.3620 0.2539 x6
O4 0.2007 0.1274 0.1706 x6
O5 0.4261 0.4061 0.3739 x6
O6 0.4554 0.1871 0.5000 x3
O7 0.4981 0.1767 0.1494 x6

Question: Among the records above, which one has the highest size of the total moment?
Answer: Ca5MnSi9Pb9O33